Record 1
Pm2ZnCu4Sn3 | PBE | relaxed

Results
* DFT total energy: -43.1 eV/cell
* formation enthalpy at 0 K: -38.3 kJ per mole of atoms

abc: 4.3348 4.3348 10.7632
angles: 90.00 90.00 90.00
Space group P-4m2 (No. 115)
Inequivalent atoms, fractional coordinates:
Pm 0.0000 0.5000 0.2478
Zn 0.0000 0.0000 0.5000
Cu 0.0000 0.0000 0.0000
Cu 0.0000 0.5000 0.6300
Cu 0.5000 0.5000 0.0000
Sn 0.0000 0.5000 0.8647
Sn 0.5000 0.5000 0.5000

Record 2
Pm2ZnCu3Sn4 | PBE | relaxed

Results
* DFT total energy: -43.1 eV/cell
* formation enthalpy at 0 K: -38.4 kJ per mole of atoms

abc: 4.4073 4.4073 11.0959
angles: 90.00 90.00 90.00
Space group P-4m2 (No. 115)
Inequivalent atoms, fractional coordinates:
Pm 0.0000 0.5000 0.2467
Zn 0.5000 0.5000 0.0000
Cu 0.0000 0.0000 0.0000
Cu 0.0000 0.5000 0.6367
Sn 0.0000 0.0000 0.5000
Sn 0.0000 0.5000 0.8630
Sn 0.5000 0.5000 0.5000